Entry from the Open Quantum Materials Database: a relaxed structure of BeReSnAs (PBE-GGA).

a b c (Å): 6.371 6.371 6.371
angles (deg): 90.00 90.00 90.00
Space group F-43m (No. 216)
Unique sites:
Be  0.000  0.000  0.000 x4
Re  0.000  0.000  0.500 x4
Sn  0.250  0.250  0.750 x4
As  0.250  0.250  0.250 x4

Calculated values
Energy relative to the lowest polymorph listed for this composition in meV per atom: 0.0
VASP energy in eV for the cell shown: -87.95